CeYTh6, optimized geometry, DFT PBE-GGA; formation enthalpy at 0 K = 39.6 meV/atom
1.0
5.0186 0.0000 0.0000
0.0000 5.0186 0.0000
0.0000 0.0000 10.0469
Ce Y Th
1 1 6
Direct
0.0000 0.0000 0.0000
0.0000 0.0000 0.5000
0.0000 0.5000 0.2457
0.0000 0.5000 0.7543
0.5000 0.0000 0.2457
0.5000 0.0000 0.7543
0.5000 0.5000 0.0000
0.5000 0.5000 0.5000

***

PaFeCuGe, optimized geometry, DFT PBE-GGA; formation enthalpy at 0 K = -47.4 meV/atom
1.0
0.0000 3.2012 3.2012
3.2012 0.0000 3.2012
3.2012 3.2012 0.0000
Pa Fe Cu Ge
1 1 1 1
Direct
0.0000 0.0000 0.0000
0.7500 0.7500 0.7500
0.2500 0.2500 0.2500
0.5000 0.5000 0.5000

***

Ta3Mn2Mo, optimized geometry, DFT PBE-GGA; formation enthalpy at 0 K = -191.6 meV/atom
1.0
3.1222 0.0000 0.0000
0.0000 3.1222 0.0000
0.0000 0.0000 9.4028
Ta Mn Mo
3 2 1
Direct
0.0000 0.0000 0.0000
0.0000 0.0000 0.3243
0.0000 0.0000 0.6757
0.5000 0.5000 0.1604
0.5000 0.5000 0.8396
0.5000 0.5000 0.5000

***

AcDy2Rh, optimized geometry, DFT PBE-GGA; formation enthalpy at 0 K = -389.3 meV/atom
1.0
2.0094 1.1601 9.2484
-2.0094 1.1601 9.2484
0.0000 -2.3202 9.2484
Ac Dy Rh
1 2 1
Direct
0.0000 0.0000 0.0000
0.2220 0.2220 0.2220
0.4486 0.4486 0.4486
0.8353 0.8353 0.8353

***

LaCd4Hg4, optimized geometry, DFT PBE-GGA; formation enthalpy at 0 K = -174.6 meV/atom
1.0
-5.0439 5.0439 2.2220
5.0439 -5.0439 2.2220
5.0439 5.0439 -2.2220
La Cd Hg
1 4 4
Direct
0.0000 0.0000 0.0000
0.0000 0.3411 0.3411
0.0000 0.6589 0.6589
0.3411 0.0000 0.3411
0.6589 0.0000 0.6589
0.3275 0.3275 0.6550
0.3275 0.6725 0.0000
0.6725 0.3275 0.0000
0.6725 0.6725 0.3450

***

GdPaAl, optimized geometry, DFT PBE-GGA; formation enthalpy at 0 K = 526.4 meV/atom
1.0
-1.5016 1.5016 8.2749
1.5016 -1.5016 8.2749
1.5016 1.5016 -8.2749
Gd Pa Al
1 1 1
Direct
0.0000 0.0000 0.0000
0.8269 0.8269 0.0000
0.6461 0.6461 0.0000

***

AcNd2Dy, optimized geometry, DFT PBE-GGA; formation enthalpy at 0 K = 117.1 meV/atom
1.0
-3.0762 3.0762 3.8619
3.0762 -3.0762 3.8619
3.0762 3.0762 -3.8619
Ac Nd Dy
1 2 1
Direct
0.0000 0.0000 0.0000
0.5000 0.5000 0.0000
0.7500 0.2500 0.5000
0.2500 0.7500 0.5000

***

IrN3Cl, optimized geometry, DFT PBE-GGA; raw formation energy = 1.668 eV/atom
1.0
3.8836 0.0000 0.0000
0.0000 3.8836 0.0000
0.0000 0.0000 3.8836
Ir N Cl
1 3 1
Direct
0.0000 0.0000 0.0000
0.0000 0.0000 0.5000
0.0000 0.5000 0.0000
0.5000 0.0000 0.0000
0.5000 0.5000 0.5000